# Ho2CoC4, optimized geometry, DFT GGA-PBE
# Calculated total energy = -7.8784 eV per atom
data_Ho2CoC4
_chemical_formula_sum 'Ho8 Co4 C16'
_symmetry_space_group_name_H-M 'I b a m'
_symmetry_Int_Tables_number 72
_symmetry_space_group_name_Hall '-I 2 2c'
_cell_length_a 7.436
_cell_length_b 9.570
_cell_length_c 5.038
_cell_angle_alpha 90.00
_cell_angle_beta 90.00
_cell_angle_gamma 90.00
loop_
_atom_site_label
_atom_site_type_symbol
_atom_site_fract_x
_atom_site_fract_y
_atom_site_fract_z
Ho1 Ho 0.159 0.145 0.000
Co1 Co 0.000 0.500 0.250
C1 C 0.159 0.127 0.500
C2 C 0.169 0.421 0.000

***

# Ho2Co17C2, optimized geometry, DFT GGA-PBE
# Calculated total energy = -7.1270 eV per atom
data_Ho2Co17C2
_chemical_formula_sum 'Ho4 Co34 C4'
_symmetry_space_group_name_H-M 'C 1 2/m 1'
_symmetry_Int_Tables_number 12
_cell_length_a 9.423
_cell_length_b 8.421
_cell_length_c 6.390
_cell_angle_alpha 90.00
_cell_angle_beta 98.58
_cell_angle_gamma 90.00
loop_
_symmetry_equiv_pos_as_xyz
'x,y,z'
'-x,-y,-z'
'-x,y,-z'
'x,-y,z'
'x+1/2,y+1/2,z'
'-x+1/2,-y+1/2,-z'
'-x+1/2,y+1/2,-z'
'x+1/2,-y+1/2,z'
loop_
_atom_site_label
_atom_site_type_symbol
_atom_site_fract_x
_atom_site_fract_y
_atom_site_fract_z
Ho1 Ho 0.151 0.000 0.334
Co1 Co 0.000 0.213 0.000
Co2 Co 0.000 0.500 0.500
Co3 Co 0.097 0.500 0.906
Co4 Co 0.102 0.254 0.657
Co5 Co 0.141 0.357 0.281
Co6 Co 0.151 0.000 0.866
Co7 Co 0.250 0.250 0.000
C1 C 0.250 0.250 0.500

***

# HoCo4C2, optimized geometry, DFT GGA-PBE
# Calculated total energy = -7.4301 eV per atom
data_HoCo4C2
_chemical_formula_sum 'Ho2 Co8 C4'
_symmetry_space_group_name_H-M 'C m m m'
_symmetry_Int_Tables_number 65
_symmetry_space_group_name_Hall '-C 2 2'
_cell_length_a 3.482
_cell_length_b 12.742
_cell_length_c 3.463
_cell_angle_alpha 90.00
_cell_angle_beta 90.00
_cell_angle_gamma 90.00
loop_
_atom_site_label
_atom_site_type_symbol
_atom_site_fract_x
_atom_site_fract_y
_atom_site_fract_z
Ho1 Ho 0.000 0.000 0.000
Co1 Co 0.000 0.176 0.500
Co2 Co 0.000 0.321 0.000
C1 C 0.000 0.385 0.500

***

no.,ΔE_f (meV/atom),D(E_F) (states/eV per atom)
1,-285,0.4935
2,-60,1.1464
3,-80,0.9165